[1]
{
  "formula": "La2Th2Pt15",
  "functional": "PBE",
  "state": "optimized geometry",
  "total_energy_ev_per_atom": -6.815,
  "formation_energy_kj_per_mol_fu": -1368,
  "total_magnetization_mub_per_atom": 0.00,
  "cell": [[4.730, 2.731, 4.695], [-4.730, 2.731, 4.695], [0.000, -5.461, 4.695]],
  "species": ["La", "La", "Th", "Th", "Pt", "Pt", "Pt", "Pt", "Pt", "Pt", "Pt", "Pt", "Pt", "Pt", "Pt", "Pt", "Pt", "Pt", "Pt"],
  "fractional_positions": [[0.139, 0.139, 0.139], [0.861, 0.861, 0.861], [0.391, 0.391, 0.391], [0.609, 0.609, 0.609], [0.000, 0.500, 0.500], [0.152, 0.152, 0.660], [0.152, 0.660, 0.152], [0.188, 0.500, 0.812], [0.188, 0.812, 0.500], [0.340, 0.848, 0.848], [0.500, 0.000, 0.500], [0.500, 0.188, 0.812], [0.500, 0.500, 0.000], [0.500, 0.812, 0.188], [0.660, 0.152, 0.152], [0.812, 0.188, 0.500], [0.812, 0.500, 0.188], [0.848, 0.340, 0.848], [0.848, 0.848, 0.340]]
}

[2]
{
  "formula": "La3ThPt4",
  "functional": "PBE",
  "state": "optimized geometry",
  "total_energy_ev_per_atom": -6.989,
  "formation_energy_kj_per_mol_fu": -921,
  "total_magnetization_mub_per_atom": 0.00,
  "cell": [[7.357, 0.000, 0.000], [0.000, 8.471, 0.000], [-2.457, 0.000, 6.918]],
  "species": ["La", "La", "La", "La", "La", "La", "Th", "Th", "Pt", "Pt", "Pt", "Pt", "Pt", "Pt", "Pt", "Pt"],
  "fractional_positions": [[0.000, 0.125, 0.250], [0.000, 0.375, 0.750], [0.000, 0.625, 0.250], [0.000, 0.875, 0.750], [0.500, 0.125, 0.750], [0.500, 0.875, 0.250], [0.500, 0.375, 0.250], [0.500, 0.625, 0.750], [0.254, 0.131, 0.006], [0.254, 0.869, 0.506], [0.259, 0.380, 0.499], [0.259, 0.620, 0.999], [0.741, 0.380, 0.001], [0.741, 0.620, 0.501], [0.746, 0.131, 0.494], [0.746, 0.869, 0.994]]
}

[3]
{
  "formula": "La2ThPt",
  "functional": "PBE",
  "state": "optimized geometry",
  "total_energy_ev_per_atom": -6.051,
  "formation_energy_kj_per_mol_fu": -86,
  "total_magnetization_mub_per_atom": 0.00,
  "cell": [[1.884, 1.088, 10.883], [-1.884, 1.088, 10.883], [0.000, -2.175, 10.883]],
  "species": ["La", "La", "Th", "Pt"],
  "fractional_positions": [[0.108, 0.108, 0.108], [0.892, 0.892, 0.892], [0.000, 0.000, 0.000], [0.500, 0.500, 0.500]]
}

[4]
{
  "formula": "La2Th2Pt5",
  "functional": "PBE",
  "state": "optimized geometry",
  "total_energy_ev_per_atom": -7.206,
  "formation_energy_kj_per_mol_fu": -960,
  "total_magnetization_mub_per_atom": 0.00,
  "cell": [[7.420, -3.931, 0.000], [7.420, 3.931, 0.000], [0.000, 0.000, 7.873]],
  "species": ["La", "La", "La", "La", "Th", "Th", "Th", "Th", "Pt", "Pt", "Pt", "Pt", "Pt", "Pt", "Pt", "Pt", "Pt", "Pt"],
  "fractional_positions": [[0.199, 0.199, 0.000], [0.301, 0.301, 0.500], [0.699, 0.699, 0.500], [0.801, 0.801, 0.000], [0.165, 0.835, 0.664], [0.335, 0.665, 0.164], [0.665, 0.335, 0.836], [0.835, 0.165, 0.336], [0.000, 0.000, 0.000], [0.010, 0.733, 0.361], [0.233, 0.510, 0.861], [0.267, 0.990, 0.361], [0.490, 0.767, 0.861], [0.500, 0.500, 0.500], [0.510, 0.233, 0.139], [0.733, 0.010, 0.639], [0.767, 0.490, 0.139], [0.990, 0.267, 0.639]]
}

[5]
{
  "formula": "La3Th2Pt4",
  "functional": "PBE",
  "state": "optimized geometry",
  "total_energy_ev_per_atom": -7.029,
  "formation_energy_kj_per_mol_fu": -914,
  "total_magnetization_mub_per_atom": 0.00,
  "cell": [[3.621, -2.091, 0.000], [3.621, 2.091, 0.000], [-0.013, 0.000, 17.274]],
  "species": ["La", "La", "La", "Th", "Th", "Pt", "Pt", "Pt", "Pt"],
  "fractional_positions": [[0.000, 0.000, 0.000], [0.334, 0.334, 0.402], [0.666, 0.666, 0.598], [0.333, 0.333, 0.796], [0.667, 0.667, 0.204], [0.001, 0.001, 0.304], [0.334, 0.334, 0.107], [0.666, 0.666, 0.893], [0.999, 0.999, 0.696]]
}

[6]
{
  "formula": "La2ThPt2",
  "functional": "PBE",
  "state": "optimized geometry",
  "total_energy_ev_per_atom": -6.712,
  "formation_energy_kj_per_mol_fu": -406,
  "total_magnetization_mub_per_atom": 0.00,
  "cell": [[-3.962, 5.549, 3.428], [3.962, -5.549, 3.428], [3.962, 5.549, -3.428]],
  "species": ["La", "La", "La", "La", "Th", "Th", "Pt", "Pt", "Pt", "Pt"],
  "fractional_positions": [[0.152, 0.132, 0.284], [0.348, 0.632, 0.980], [0.652, 0.368, 0.020], [0.848, 0.868, 0.716], [0.250, 0.750, 0.500], [0.750, 0.250, 0.500], [0.104, 0.762, 0.867], [0.396, 0.262, 0.658], [0.604, 0.738, 0.342], [0.896, 0.238, 0.133]]
}